1.
# YZr2TcB

Crystalline YZr2TcB at its relaxed geometry (GGA-PBEsol, Alexandria).

Summary:
* total magnetic moment: 0.001 μB per atom
* Fermi-level density of states: 6.9 states/eV/f.u.
* E_form: 0.5519 eV per atom

a = 4.967 Å, b = 4.967 Å, c = 4.287 Å
α = 90.00°, β = 90.00°, γ = 90.00°
Fractional positions:
Y  0.000  0.000  0.000
Zr  0.000  0.500  0.500
Zr  0.500  0.000  0.500
Tc  0.500  0.500  0.500
B  0.500  0.500  0.000


2.
# ZnTc2B2

Crystalline ZnTc2B2 at its relaxed geometry (GGA-PBEsol, Alexandria).

Summary:
* total magnetic moment: 0.000 μB per atom
* Fermi-level density of states: 1.1 states/eV/f.u.
* E_form: -0.3184 eV per atom

a = 5.762 Å, b = 5.762 Å, c = 3.057 Å
α = 90.00°, β = 90.00°, γ = 90.00°
Fractional positions:
Zn  0.000  0.000  0.000
Zn  0.500  0.500  0.000
Tc  0.172  0.328  0.500
Tc  0.328  0.828  0.500
Tc  0.672  0.172  0.500
Tc  0.828  0.672  0.500
B  0.114  0.614  0.000
B  0.386  0.114  0.000
B  0.614  0.886  0.000
B  0.886  0.386  0.000


3.
# Zn3TcB

Crystalline Zn3TcB at its relaxed geometry (GGA-PBEsol, Alexandria).

Summary:
* total magnetic moment: 0.000 μB per atom
* Fermi-level density of states: 3.5 states/eV/f.u.
* E_form: 1.7895 eV per atom

a = 4.706 Å, b = 4.706 Å, c = 4.706 Å
α = 90.00°, β = 90.00°, γ = 90.00°
Fractional positions:
Zn  0.000  0.000  0.500
Zn  0.000  0.500  0.000
Zn  0.500  0.000  0.000
Tc  0.000  0.000  0.000
B  0.500  0.500  0.500


4.
# ZrTcB2

Crystalline ZrTcB2 at its relaxed geometry (GGA-PBEsol, Alexandria).

Summary:
* total magnetic moment: 0.000 μB per atom
* Fermi-level density of states: 1.4 states/eV/f.u.
* E_form: -0.0510 eV per atom

a = 5.665 Å, b = 5.665 Å, c = 5.665 Å
α = 90.00°, β = 90.00°, γ = 90.00°
Fractional positions:
Zr  0.000  0.000  0.000
Zr  0.000  0.500  0.500
Zr  0.500  0.000  0.500
Zr  0.500  0.500  0.000
Tc  0.000  0.000  0.500
Tc  0.000  0.500  0.000
Tc  0.500  0.000  0.000
Tc  0.500  0.500  0.500
B  0.250  0.250  0.250
B  0.250  0.250  0.750
B  0.250  0.750  0.250
B  0.250  0.750  0.750
B  0.750  0.250  0.250
B  0.750  0.250  0.750
B  0.750  0.750  0.250
B  0.750  0.750  0.750